Material: Ta2CrCu
Method: DFT, GGA-PBE
State: relaxed

abc: 2.8442 2.8442 27.2520
angles: 90.00 90.00 120.00
Space group R-3m (No. 166, hexagonal axes)
Inequivalent atoms, fractional coordinates:
Ta: 0.0000 0.0000 0.2502 x6
Cr: 0.0000 0.0000 0.0000 x3
Cu: 0.0000 0.0000 0.5000 x3

Summary:
E_tot, eV per atom: -8.9635